Below is a relaxed structure of Ti3HgH, with properties calculated at the PBE-GGA level.

Computed properties:
- total magnetization (Bohr magnetons per cell) = 2.6
- calculated total energy (eV per cell) = -56.1
- Fermi-level density of states (states/eV per cell) = 12.2

Geometry as POSCAR:
```
Ti3HgH
1.0
-2.4485 14.8939 -11.2641
-2.7575 5.2240 -6.7599
-1.3084 -6.1832 6.3754
Ti Hg H
6 2 2
Cartesian
-3.4796 7.3603 -4.4521
-4.1449 12.0220 -9.0468
-2.9226 4.6138 -3.4906
-3.0348 6.5745 -7.1965
-2.3695 1.9127 -2.6017
-3.5918 9.3210 -8.1580
-4.2616 14.0684 -12.9187
-2.2528 -0.1336 1.2701
-1.6416 -3.8506 4.0795
-4.8728 17.7854 -15.7281
```

Below is a relaxed structure of Ti3HgH, with properties calculated at the PBE-GGA level.

Computed properties:
- total magnetization (Bohr magnetons per cell) = 0.0
- calculated total energy (eV per cell) = -23.0
- Fermi-level density of states (states/eV per cell) = 6.6

Geometry as POSCAR:
```
Ti3HgH
1.0
-2.3117 -1.1219 5.1297
2.4738 0.9626 5.0862
-1.6640 3.9007 3.8641
Ti H Hg
3 1 1
Cartesian
-0.0691 3.6621 9.0383
-2.4963 2.6049 9.0604
-0.3976 1.1146 9.6803
-0.1176 0.2930 1.1027
-1.2371 3.0821 11.5986
```

Below is a relaxed structure of Ti3HgH, with properties calculated at the PBE-GGA level.

Computed properties:
- total magnetization (Bohr magnetons per cell) = 0.0
- calculated total energy (eV per cell) = -56.2
- Fermi-level density of states (states/eV per cell) = 8.7

Geometry as POSCAR:
```
Ti3HgH
1.0
4.8067 0.0000 0.7831
0.0000 5.6613 0.0000
-0.9137 0.0000 5.1841
Ti H Hg
6 2 2
Cartesian
3.5031 5.6473 1.2946
0.3899 0.0140 4.6726
0.8525 1.4153 2.0798
0.3899 2.8167 4.6726
3.5031 2.8446 1.2946
3.0406 4.2460 3.8873
2.1668 1.4153 0.7173
1.7262 4.2460 5.2499
0.8604 4.2460 2.0426
3.0326 1.4153 3.9245
```

Below is a relaxed structure of Ti3HgH, with properties calculated at the PBE-GGA level.

Computed properties:
- total magnetization (Bohr magnetons per cell) = 0.0
- calculated total energy (eV per cell) = -56.2
- Fermi-level density of states (states/eV per cell) = 9.5

Geometry as POSCAR:
```
Ti3HgH
1.0
6.2184 -0.0065 -0.0001
-0.3418 6.2023 0.0000
0.0000 0.0000 3.7833
H Ti Hg
2 6 2
Cartesian
5.1330 2.4141 3.5171
0.5112 4.0940 1.6255
5.4792 2.2643 1.6255
3.8750 3.8504 3.5172
0.7137 3.7895 3.5172
4.0938 0.5573 3.5172
2.3352 5.2701 1.6255
5.2530 5.2972 1.6255
0.9447 0.5949 3.5171
2.4709 2.2025 1.6255
```

Below is a relaxed structure of Ti3HgH, with properties calculated at the PBE-GGA level.

Computed properties:
- total magnetization (Bohr magnetons per cell) = 0.0
- calculated total energy (eV per cell) = -24.9
- Fermi-level density of states (states/eV per cell) = 6.9

Geometry as POSCAR:
```
Ti3HgH
1.0
-0.8040 -2.4164 -1.3088
-1.1893 3.8367 -6.3528
5.6474 -3.6801 3.3252
Ti Hg H
3 1 1
Cartesian
1.2790 -1.8131 -0.5703
3.5455 -1.7335 -2.1095
3.7356 -1.5782 0.6189
4.5620 -4.1369 1.7034
2.7784 -0.5257 -0.7361
```

Below is a relaxed structure of Ti3HgH, with properties calculated at the PBE-GGA level.

Computed properties:
- total magnetization (Bohr magnetons per cell) = 0.0
- calculated total energy (eV per cell) = -56.3
- Fermi-level density of states (states/eV per cell) = 9.9

Geometry as POSCAR:
```
Ti3HgH
1.0
5.9210 -0.0020 -0.0025
1.5663 4.8389 -0.0020
2.9487 0.9622 5.0435
Hg Ti H
2 6 2
Cartesian
4.6386 5.2131 4.3014
3.0651 1.8250 0.5315
3.0937 4.5237 1.8404
6.1903 4.6661 1.8294
6.0959 2.0854 0.5437
7.4966 2.4294 3.0263
4.6285 2.5614 3.0348
7.5817 4.9865 4.2708
6.0559 1.0996 2.4318
4.8031 3.5308 1.2292
```

In the order shown, the computed calculated volume values come out to 14.53; 23.04; 14.51; 14.59; 21.66; 14.46 A^3/atom.